Density functional theory data (PBE-GGA) for a relaxed structure of Li2Mg8Cd.

The structure in extended XYZ format:
```
11
Lattice="4.7991 0.0000 0.0000 0.0000 4.7991 0.0000 0.0000 0.0000 10.8801" Properties=species:S:1:pos:R:3 pbc="T T T"
Li 0.0000 0.0000 1.9663
Li 0.0000 0.0000 8.9139
Mg 0.0000 2.3995 0.0000
Mg 0.0000 2.3995 3.8214
Mg 0.0000 2.3995 7.0588
Mg 2.3995 0.0000 0.0000
Mg 2.3995 0.0000 3.8214
Mg 2.3995 0.0000 7.0588
Mg 2.3995 2.3995 1.8408
Mg 2.3995 2.3995 9.0393
Cd 0.0000 0.0000 5.4401
```

Space-group type: P4/mmm (123)
Energy relative to the lowest polymorph listed for this composition in meV per atom: 34
Crystal system: tetragonal

=====

Density functional theory data (PBE-GGA) for a relaxed structure of BePOs2.

The structure in extended XYZ format:
```
4
Lattice="1.4256 -2.4472 0.0000 1.4256 2.4472 0.0000 0.0000 0.0000 7.5294" Properties=species:S:1:pos:R:3 pbc="T T T"
Be 0.0000 0.0000 0.0000
P 0.0000 0.0000 3.7647
Os 1.4256 0.0000 1.9073
Os 1.4256 0.0000 5.6222
```

Space-group type: Cmmm (65)
Crystal system: orthorhombic

=====

| no. | raw total energy (eV per atom) | calculated formation energy (eV/atom) |
| --- | --- | --- |
| 1 | -1.60 | -0.013 |
| 2 | -7.54 | 0.355 |